A plane-wave DFT calculation with PBE was carried out for Tb7Tm12Mg after structural relaxation.

Output
As for the relative energy among the computed polymorphs: 621 meV/atom. Its total energy is -3.545 eV per atom.

Cell lengths 11.9206, 11.9206, 11.9206 Å; angles 90.00, 90.00, 90.00 degrees
Space group Im-3 (No. 204)
Inequivalent atoms, fractional coordinates:
Tb: 0.0000 0.0000 0.5000
Tb: 0.2500 0.2500 0.2500
Tm: 0.0000 0.2630 0.3604
Mg: 0.0000 0.0000 0.0000

---

A plane-wave DFT calculation with PBE was carried out for LiTl after structural relaxation.

Output
Its total energy is -2.194 eV per atom.

Cell lengths 5.1281, 5.1281, 8.7770 Å; angles 90.00, 90.00, 120.00 degrees
Space group P6_3/mmc (No. 194)
Inequivalent atoms, fractional coordinates:
Li: 0.3333 0.6667 0.0801
Tl: 0.0000 0.0000 0.2500
Tl: 0.3333 0.6667 0.7500

---

A plane-wave DFT calculation with PBE was carried out for CaTiO2 after structural relaxation.

Output
For the formation energy without anion corrections, the calculation gives -2.504 eV/atom. As for the relative energy among the computed polymorphs: 100 meV/atom. Its total energy is -7.458 eV per atom.

Cell lengths 2.9885, 8.4356, 9.0628 Å; angles 91.57, 99.26, 100.19 degrees
Space group P-1 (No. 2)
Inequivalent atoms, fractional coordinates:
Ca: 0.1051 0.4376 0.2673
Ca: 0.3318 0.2466 0.9277
Ti: 0.0688 0.9215 0.7213
Ti: 0.3617 0.8075 0.4142
O: 0.0927 0.2418 0.4420
O: 0.2748 0.3547 0.6993
O: 0.3122 0.9159 0.2013
O: 0.4590 0.2259 0.1829

---

A plane-wave DFT calculation with PBE was carried out for LaTb2Lu after structural relaxation.

Output
As for the relative energy among the computed polymorphs: 0 meV/atom. Its total energy is -4.649 eV per atom.

Cell lengths 3.5840, 3.5840, 35.0398 Å; angles 90.00, 90.00, 120.00 degrees
Space group R-3m (No. 166, hexagonal axes)
Inequivalent atoms, fractional coordinates:
La: 0.0000 0.0000 0.0000
Tb: 0.0000 0.0000 0.2472
Lu: 0.0000 0.0000 0.5000

---

A plane-wave DFT calculation with PBE was carried out for K2IrPt after structural relaxation.

Output
As for the relative energy among the computed polymorphs: 0 meV/atom. Its total energy is -4.035 eV per atom.

Cell lengths 2.8927, 4.2140, 9.8327 Å; angles 90.00, 90.00, 90.00 degrees
Space group Pmm2 (No. 25)
Inequivalent atoms, fractional coordinates:
K: 0.0000 0.0000 0.0000
K: 0.5000 0.5000 0.4413
Ir: 0.5000 0.5000 0.7509
Pt: 0.0000 0.0000 0.6887

---

A plane-wave DFT calculation with PBE was carried out for La3Nd6Dy after structural relaxation.

Output
As for the relative energy among the computed polymorphs: 0 meV/atom. Its total energy is -4.632 eV per atom.

Cell lengths 13.6196, 16.4713, 6.4037 Å; angles 90.00, 90.00, 90.00 degrees
Space group Cmc2_1 (No. 36)
Inequivalent atoms, fractional coordinates:
La: 0.0000 0.1351 0.0000
La: 0.2069 0.4282 0.6344
Nd: 0.0000 0.2418 0.4718
Nd: 0.0000 0.4392 0.3571
Nd: 0.1196 0.0599 0.5175
Nd: 0.2246 0.2898 0.1869
Dy: 0.0000 0.3461 0.9074

---

A plane-wave DFT calculation with PBE was carried out for Li2PbAu2 after structural relaxation.

Output
As for the relative energy among the computed polymorphs: 118 meV/atom. Its total energy is -3.103 eV per atom.

Cell lengths 4.7313, 4.7313, 5.6109 Å; angles 90.00, 90.00, 120.00 degrees
Space group P-3m1 (No. 164)
Inequivalent atoms, fractional coordinates:
Li: 0.3333 0.6667 0.1689
Pb: 0.0000 0.0000 0.5000
Au: 0.3333 0.6667 0.7037

---

A plane-wave DFT calculation with PBE was carried out for SmGa4Au6 after structural relaxation.

Output
As for the relative energy among the computed polymorphs: 37 meV/atom. Its total energy is -3.617 eV per atom.

Cell lengths 7.0134, 7.0134, 9.2699 Å; angles 90.00, 90.00, 90.00 degrees
Space group I-42m (No. 121)
Inequivalent atoms, fractional coordinates:
Sm: 0.0000 0.0000 0.0000
Ga: 0.2122 0.2122 0.6498
Au: 0.0000 0.5000 0.0000
Au: 0.1565 0.1565 0.3731